# TbPr2Tm3Bi6

Crystalline TbPr2Tm3Bi6 at its relaxed geometry (GGA-PBE, Alexandria via LeMat-Bulk).

Lattice parameters (Å, degrees): 19.6579 4.5172 9.0222 90.00 103.11 90.00
Space group C2/m (No. 12)
Inequivalent atoms, fractional coordinates:
Tb 0.0000 0.0000 0.0000 (multiplicity 2)
Pr 0.1657 0.5000 0.3325 (multiplicity 4)
Tm 0.0000 0.0000 0.5000 (multiplicity 2)
Tm 0.1682 0.5000 0.8340 (multiplicity 4)
Bi 0.0041 0.5000 0.7493 (multiplicity 4)
Bi 0.1638 0.0000 0.5912 (multiplicity 4)
Bi 0.1669 0.0000 0.0737 (multiplicity 4)

Summary:
For the energy of formation, the calculation gives -0.852 eV per atom. The calculation puts the total energy at -5.0924 eV/atom.